The following is a DFT calculation (GGA-PBE) of an optimized crystal structure of SICl2O.

Geometry as POSCAR:
```
SICl2O
1.0
4.6566 0.0000 0.0000
0.0000 4.6566 0.0000
0.0000 0.0000 4.4397
I S O Cl
1 1 1 2
Direct
0.5000 0.5000 0.5000 I
0.0000 0.0000 0.5000 S
0.0000 0.0000 0.0000 O
0.0000 0.5000 0.0000 Cl
0.5000 0.0000 0.0000 Cl
```

## Properties
Its energy above the most stable polymorph in this dataset is 0.000 eV per atom. Its space-group type is P4/mmm. The raw formation energy comes out at 0.831 eV/atom.

The following is a DFT calculation (GGA-PBE) of an optimized crystal structure of CrRu2Se.

Geometry as POSCAR:
```
CrRu2Se
1.0
4.8450 0.0035 0.0194
3.9801 2.7628 0.0194
0.1704 0.0534 4.3414
Cr Ru Se
1 2 1
Direct
0.2716 0.2716 0.2390 Cr
0.9980 0.9980 0.9986 Ru
0.7268 0.7268 0.7775 Ru
0.5036 0.5036 0.4849 Se
```

## Properties
Its space-group type is Cm. The raw formation energy comes out at 0.272 eV/atom.

The following is a DFT calculation (GGA-PBE) of an optimized crystal structure of Ce2ZnCu.

Geometry as POSCAR:
```
Ce2ZnCu
1.0
3.6704 0.0000 0.0000
0.0000 3.6704 0.0000
0.0000 0.0000 6.7065
Zn Cu Ce
1 1 2
Direct
0.5000 0.5000 0.5000 Zn
0.5000 0.5000 0.0000 Cu
0.0000 0.0000 0.7685 Ce
0.0000 0.0000 0.2315 Ce
```

## Properties
The energy of formation from the pure elements is -0.092 eV/atom. Its space-group type is P4/mmm.

The following is a DFT calculation (GGA-PBE) of an optimized crystal structure of BaCa2BiPt.

Geometry as POSCAR:
```
BaCa2BiPt
1.0
5.5526 0.0000 0.0000
0.0000 5.5526 0.0000
0.0000 0.0000 5.9919
Ca Bi Pt Ba
2 1 1 1
Direct
0.0000 0.5000 0.0000 Ca
0.5000 0.0000 0.0000 Ca
0.5000 0.5000 0.5000 Bi
0.0000 0.0000 0.0000 Pt
0.0000 0.0000 0.5000 Ba
```

## Properties
The energy of formation from the pure elements is -0.672 eV/atom. Its space-group type is P4/mmm.

Fermi-level density of states
In order: 3.89, 3.88, 10.65, 2.95
Unit: states/eV/cell
Magnetic moment
In order: 0.000, 1.322, 1.272, 0.000
Unit: μB per formula unit